Record 1
# Dy4TlHgSe2 PBE relaxed
data_Dy4TlHgSe2
_cell_length_a 6.904
_cell_length_b 3.969
_cell_length_c 8.067
_cell_angle_alpha 90.00
_cell_angle_beta 106.50
_cell_angle_gamma 90.00
_space_group_name_H-M_alt 'P 1'
_space_group_IT_number 1
loop_
_space_group_symop_operation_xyz
'x,y,z'
loop_
_atom_site_label
_atom_site_type_symbol
_atom_site_fract_x
_atom_site_fract_y
_atom_site_fract_z
Dy1 Dy 0.240 0.000 0.225
Dy2 Dy 0.255 0.500 0.774
Dy3 Dy 0.745 0.500 0.226
Dy4 Dy 0.760 0.000 0.775
Tl1 Tl 0.500 0.500 0.500
Hg1 Hg 0.000 0.000 0.500
Se1 Se 0.000 0.500 0.000
Se2 Se 0.500 0.000 0.000
# DOS at the Fermi energy = 0.4999 states/eV/atom
# Formation energy (no corrections) = -1068 meV per atom

Record 2
# DyTl2HgSe4 PBE relaxed
data_DyTl2HgSe4
_cell_length_a 7.435
_cell_length_b 4.173
_cell_length_c 7.735
_cell_angle_alpha 90.00
_cell_angle_beta 109.91
_cell_angle_gamma 90.00
_space_group_name_H-M_alt 'P 1'
_space_group_IT_number 1
loop_
_space_group_symop_operation_xyz
'x,y,z'
loop_
_atom_site_label
_atom_site_type_symbol
_atom_site_fract_x
_atom_site_fract_y
_atom_site_fract_z
Dy1 Dy 0.000 0.000 0.000
Tl1 Tl 0.000 0.500 0.500
Tl2 Tl 0.500 0.000 0.500
Hg1 Hg 0.500 0.500 0.000
Se1 Se 0.221 0.500 0.225
Se2 Se 0.260 0.000 0.787
Se3 Se 0.740 0.000 0.213
Se4 Se 0.779 0.500 0.775
# DOS at the Fermi energy = 0.3263 states/eV/atom
# Formation energy (no corrections) = -737 meV per atom

Record 3
# Dy5Si2Hg2 PBE relaxed
data_Dy5Si2Hg2
_cell_length_a 8.787
_cell_length_b 8.787
_cell_length_c 7.551
_cell_angle_alpha 90.00
_cell_angle_beta 90.00
_cell_angle_gamma 50.79
_space_group_name_H-M_alt 'P 1'
_space_group_IT_number 1
loop_
_space_group_symop_operation_xyz
'x,y,z'
loop_
_atom_site_label
_atom_site_type_symbol
_atom_site_fract_x
_atom_site_fract_y
_atom_site_fract_z
Dy1 Dy 0.000 0.000 0.000
Dy2 Dy 0.055 0.691 0.676
Dy3 Dy 0.191 0.555 0.176
Dy4 Dy 0.309 0.945 0.676
Dy5 Dy 0.445 0.809 0.176
Dy6 Dy 0.500 0.500 0.500
Dy7 Dy 0.555 0.191 0.824
Dy8 Dy 0.691 0.055 0.324
Dy9 Dy 0.809 0.445 0.824
Dy10 Dy 0.945 0.309 0.324
Si1 Si 0.118 0.882 0.379
Si2 Si 0.382 0.618 0.879
Si3 Si 0.618 0.382 0.121
Si4 Si 0.882 0.118 0.621
Hg1 Hg 0.217 0.217 0.000
Hg2 Hg 0.283 0.283 0.500
Hg3 Hg 0.717 0.717 0.500
Hg4 Hg 0.783 0.783 0.000
# DOS at the Fermi energy = 0.7032 states/eV/atom
# Formation energy (no corrections) = -607 meV per atom

Record 4
# Dy2SiHg PBE relaxed
data_Dy2SiHg
_cell_length_a 4.262
_cell_length_b 4.262
_cell_length_c 20.705
_cell_angle_alpha 90.00
_cell_angle_beta 90.00
_cell_angle_gamma 120.00
_space_group_name_H-M_alt 'P 1'
_space_group_IT_number 1
loop_
_space_group_symop_operation_xyz
'x,y,z'
loop_
_atom_site_label
_atom_site_type_symbol
_atom_site_fract_x
_atom_site_fract_y
_atom_site_fract_z
Dy1 Dy 0.000 0.000 0.236
Dy2 Dy 0.000 0.000 0.764
Dy3 Dy 0.333 0.667 0.431
Dy4 Dy 0.333 0.667 0.903
Dy5 Dy 0.667 0.333 0.097
Dy6 Dy 0.667 0.333 0.569
Si1 Si 0.000 0.000 0.500
Si2 Si 0.333 0.667 0.167
Si3 Si 0.667 0.333 0.833
Hg1 Hg 0.000 0.000 0.000
Hg2 Hg 0.333 0.667 0.667
Hg3 Hg 0.667 0.333 0.333
# DOS at the Fermi energy = 0.8708 states/eV/atom
# Formation energy (no corrections) = -471 meV per atom

Record 5
# Dy2Si2Hg PBE relaxed
data_Dy2Si2Hg
_cell_length_a 7.151
_cell_length_b 7.151
_cell_length_c 4.190
_cell_angle_alpha 90.00
_cell_angle_beta 90.00
_cell_angle_gamma 90.00
_space_group_name_H-M_alt 'P 1'
_space_group_IT_number 1
loop_
_space_group_symop_operation_xyz
'x,y,z'
loop_
_atom_site_label
_atom_site_type_symbol
_atom_site_fract_x
_atom_site_fract_y
_atom_site_fract_z
Dy1 Dy 0.178 0.322 0.000
Dy2 Dy 0.322 0.822 0.000
Dy3 Dy 0.678 0.178 0.000
Dy4 Dy 0.822 0.678 0.000
Si1 Si 0.117 0.617 0.500
Si2 Si 0.383 0.117 0.500
Si3 Si 0.617 0.883 0.500
Si4 Si 0.883 0.383 0.500
Hg1 Hg 0.000 0.000 0.500
Hg2 Hg 0.500 0.500 0.500
# DOS at the Fermi energy = 0.2985 states/eV/atom
# Formation energy (no corrections) = -647 meV per atom

Record 6
# Dy2Si2Hg PBE relaxed
data_Dy2Si2Hg
_cell_length_a 3.779
_cell_length_b 14.223
_cell_length_c 4.057
_cell_angle_alpha 90.00
_cell_angle_beta 90.00
_cell_angle_gamma 90.00
_space_group_name_H-M_alt 'P 1'
_space_group_IT_number 1
loop_
_space_group_symop_operation_xyz
'x,y,z'
loop_
_atom_site_label
_atom_site_type_symbol
_atom_site_fract_x
_atom_site_fract_y
_atom_site_fract_z
Dy1 Dy 0.000 0.136 0.000
Dy2 Dy 0.000 0.864 0.000
Dy3 Dy 0.500 0.364 0.000
Dy4 Dy 0.500 0.636 0.000
Si1 Si 0.000 0.300 0.500
Si2 Si 0.000 0.700 0.500
Si3 Si 0.500 0.200 0.500
Si4 Si 0.500 0.800 0.500
Hg1 Hg 0.000 0.500 0.500
Hg2 Hg 0.500 0.000 0.500
# DOS at the Fermi energy = 0.5488 states/eV/atom
# Formation energy (no corrections) = -649 meV per atom

How do the records compare in final energy? In the order shown, they have -36.6; -29.5; -79.8; -50.4; -47.2; -47.2 eV/cell.